Here is a relaxed structure of Pr2SnS from Alexandria via LeMat-Bulk. Energies are from PBE.

Calculated values
- Total magnetization: 0.00 μB/f.u.
- DFT total energy: -68.28 eV/cell

Cell and atoms, written as CIF:
```
data_Pr2SnS
_cell_length_a 3.9871
_cell_length_b 3.9871
_cell_length_c 24.8820
_cell_angle_alpha 90.00
_cell_angle_beta 90.00
_cell_angle_gamma 120.00
_symmetry_space_group_name_H-M 'R 3 m'
_symmetry_Int_Tables_number 160
_symmetry_space_group_name_Hall 'R 3 -2"'
loop_
_atom_site_label
_atom_site_fract_x
_atom_site_fract_y
_atom_site_fract_z
_atom_site_occupancy
Pr1 0.0000 0.0000 0.0000 1
Pr2 0.0000 0.0000 0.1962 1
Sn1 0.0000 0.0000 0.4307 1
S1 0.0000 0.0000 0.5988 1
```


Here is a relaxed structure of Ho7Ga2Rh2 from Alexandria via LeMat-Bulk. Energies are from PBE.

Calculated values
- Energy of formation from the pure elements: -4.839 eV/f.u.
- Total magnetization: 0.00 μB/f.u.
- DFT total energy: -115.28 eV/cell

Cell and atoms, written as CIF:
```
data_Ho7Ga2Rh2
_cell_length_a 7.7669
_cell_length_b 10.7685
_cell_length_c 6.9510
_cell_angle_alpha 90.00
_cell_angle_beta 90.00
_cell_angle_gamma 90.00
_symmetry_space_group_name_H-M 'C m m m'
_symmetry_Int_Tables_number 65
_symmetry_space_group_name_Hall '-C 2 2'
loop_
_atom_site_label
_atom_site_fract_x
_atom_site_fract_y
_atom_site_fract_z
_atom_site_occupancy
Ho1 0.0000 0.0000 0.0000 1
Ho2 0.0000 0.5000 0.2540 1
Ho3 0.2500 0.2500 0.2607 1
Ga1 0.1682 0.0000 0.5000 1
Rh1 0.0000 0.2920 0.0000 1
```


Here is a relaxed structure of SiSn2RuF from Alexandria via LeMat-Bulk. Energies are from PBE.

Calculated values
- Total magnetization: 0.56 μB/f.u.
- DFT total energy: -26.19 eV/cell

Cell and atoms, written as CIF:
```
data_SiSn2RuF
_cell_length_a 5.1360
_cell_length_b 5.1360
_cell_length_c 4.5258
_cell_angle_alpha 90.00
_cell_angle_beta 90.00
_cell_angle_gamma 90.00
_symmetry_space_group_name_H-M 'P 4/m m m'
_symmetry_Int_Tables_number 123
_symmetry_space_group_name_Hall '-P 4 2'
loop_
_atom_site_label
_atom_site_fract_x
_atom_site_fract_y
_atom_site_fract_z
_atom_site_occupancy
Si1 0.0000 0.0000 0.0000 1
Sn1 0.0000 0.5000 0.5000 1
Ru1 0.0000 0.0000 0.5000 1
F1 0.5000 0.5000 0.0000 1
```


Here is a relaxed structure of KScIO6 from Alexandria via LeMat-Bulk. Energies are from PBE.

Calculated values
- Total magnetization: 1.07 μB/f.u.
- DFT total energy: -51.08 eV/cell

Cell and atoms, written as CIF:
```
data_KScIO6
_cell_length_a 5.4712
_cell_length_b 5.4712
_cell_length_c 5.8643
_cell_angle_alpha 90.00
_cell_angle_beta 90.00
_cell_angle_gamma 120.00
_symmetry_space_group_name_H-M 'P 3 1 2'
_symmetry_Int_Tables_number 149
loop_
_symmetry_equiv_pos_as_xyz
'x,y,z'
'-y,x-y,z'
'-x+y,-x,z'
'-y,-x,-z'
'-x+y,y,-z'
'x,x-y,-z'
loop_
_atom_site_label
_atom_site_fract_x
_atom_site_fract_y
_atom_site_fract_z
_atom_site_occupancy
K1 0.0000 0.0000 0.0000 1
Sc1 0.3333 0.6667 0.5000 1
I1 0.6667 0.3333 0.5000 1
O1 0.3993 0.0315 0.6834 1
```


Here is a relaxed structure of Hf2ReGe from Alexandria via LeMat-Bulk. Energies are from PBE.

Calculated values
- Energy of formation from the pure elements: -1.641 eV/f.u.
- Total magnetization: 0.00 μB/f.u.
- DFT total energy: -38.61 eV/cell

Cell and atoms, written as CIF:
```
data_Hf2ReGe
_cell_length_a 3.4172
_cell_length_b 3.4172
_cell_length_c 6.1584
_cell_angle_alpha 90.00
_cell_angle_beta 90.00
_cell_angle_gamma 90.00
_symmetry_space_group_name_H-M 'P 4/m m m'
_symmetry_Int_Tables_number 123
_symmetry_space_group_name_Hall '-P 4 2'
loop_
_atom_site_label
_atom_site_fract_x
_atom_site_fract_y
_atom_site_fract_z
_atom_site_occupancy
Hf1 0.0000 0.0000 0.2495 1
Re1 0.5000 0.5000 0.0000 1
Ge1 0.5000 0.5000 0.5000 1
```


Here is a relaxed structure of Sm4DyHg4 from Alexandria via LeMat-Bulk. Energies are from PBE.

Calculated values
- Energy of formation from the pure elements: -2.341 eV/f.u.
- Total magnetization: 0.00 μB/f.u.
- DFT total energy: -54.05 eV/cell

Cell and atoms, written as CIF:
```
data_Sm4DyHg4
_cell_length_a 9.5725
_cell_length_b 9.5725
_cell_length_c 5.6631
_cell_angle_alpha 90.00
_cell_angle_beta 90.00
_cell_angle_gamma 90.00
_symmetry_space_group_name_H-M 'P 42/n'
_symmetry_Int_Tables_number 86
loop_
_symmetry_equiv_pos_as_xyz
'x,y,z'
'-x,-y,-z'
'-y,x+1/2,z+1/2'
'y,-x+1/2,-z+1/2'
'-x+1/2,-y+1/2,z'
'x+1/2,y+1/2,-z'
'y+1/2,-x,z+1/2'
'-y+1/2,x,-z+1/2'
loop_
_atom_site_label
_atom_site_fract_x
_atom_site_fract_y
_atom_site_fract_z
_atom_site_occupancy
Sm1 0.0940 0.8375 0.1447 1
Dy1 0.2500 0.2500 0.7500 1
Hg1 0.0501 0.1473 0.3587 1
```


Here is a relaxed structure of CeNb2Si4 from Alexandria via LeMat-Bulk. Energies are from PBE.

Calculated values
- Total magnetization: 0.00 μB/f.u.
- DFT total energy: -102.81 eV/cell

Cell and atoms, written as CIF:
```
data_CeNb2Si4
_cell_length_a 3.7055
_cell_length_b 3.7569
_cell_length_c 17.3158
_cell_angle_alpha 90.00
_cell_angle_beta 90.00
_cell_angle_gamma 90.00
_symmetry_space_group_name_H-M 'I m m m'
_symmetry_Int_Tables_number 71
_symmetry_space_group_name_Hall '-I 2 2'
loop_
_atom_site_label
_atom_site_fract_x
_atom_site_fract_y
_atom_site_fract_z
_atom_site_occupancy
Ce1 0.0000 0.0000 0.0000 1
Nb1 0.0000 0.5000 0.1906 1
Si1 0.0000 0.0000 0.4247 1
Si2 0.0000 0.5000 0.3417 1
```


Here is a relaxed structure of ZnNi4As from Alexandria via LeMat-Bulk. Energies are from PBE.

Calculated values
- Energy of formation from the pure elements: 0.460 eV/f.u.
- Total magnetization: 0.00 μB/f.u.
- DFT total energy: -114.36 eV/cell

Cell and atoms, written as CIF:
```
data_ZnNi4As
_cell_length_a 6.7249
_cell_length_b 6.7249
_cell_length_c 6.7249
_cell_angle_alpha 90.00
_cell_angle_beta 90.00
_cell_angle_gamma 90.00
_symmetry_space_group_name_H-M 'F -4 3 m'
_symmetry_Int_Tables_number 216
_symmetry_space_group_name_Hall 'F -4 2 3'
loop_
_atom_site_label
_atom_site_fract_x
_atom_site_fract_y
_atom_site_fract_z
_atom_site_occupancy
Zn1 0.0000 0.0000 0.0000 1
Ni1 0.1251 0.1251 0.3749 1
As1 0.2500 0.2500 0.7500 1
```


Here is a relaxed structure of Ba2CdFe from Alexandria via LeMat-Bulk. Energies are from PBE.

Calculated values
- Energy of formation from the pure elements: 1.014 eV/f.u.
- Total magnetization: 2.00 μB/f.u.
- DFT total energy: -24.42 eV/cell

Cell and atoms, written as CIF:
```
data_Ba2CdFe
_cell_length_a 4.8706
_cell_length_b 4.8882
_cell_length_c 12.5228
_cell_angle_alpha 90.00
_cell_angle_beta 90.00
_cell_angle_gamma 90.00
_symmetry_space_group_name_H-M 'A m m 2'
_symmetry_Int_Tables_number 38
loop_
_symmetry_equiv_pos_as_xyz
'x,y,z'
'-x,-y,z'
'-x,y,z'
'x,-y,z'
'x,y+1/2,z+1/2'
'-x,-y+1/2,z+1/2'
'-x,y+1/2,z+1/2'
'x,-y+1/2,z+1/2'
loop_
_atom_site_label
_atom_site_fract_x
_atom_site_fract_y
_atom_site_fract_z
_atom_site_occupancy
Ba1 0.0000 0.0000 0.0000 1
Ba2 0.5000 0.0000 0.2845 1
Cd1 0.0000 0.0000 0.6985 1
Fe1 0.5000 0.0000 0.5986 1
```


Here is a relaxed structure of HgOsRu3 from Alexandria via LeMat-Bulk. Energies are from PBE.

Calculated values
- Energy of formation from the pure elements: 8.011 eV/f.u.
- Total magnetization: 0.72 μB/f.u.
- DFT total energy: -31.35 eV/cell

Cell and atoms, written as CIF:
```
data_HgOsRu3
_cell_length_a 4.6970
_cell_length_b 4.6970
_cell_length_c 4.6970
_cell_angle_alpha 90.00
_cell_angle_beta 90.00
_cell_angle_gamma 90.00
_symmetry_space_group_name_H-M 'P m -3 m'
_symmetry_Int_Tables_number 221
_symmetry_space_group_name_Hall '-P 4 2 3'
loop_
_atom_site_label
_atom_site_fract_x
_atom_site_fract_y
_atom_site_fract_z
_atom_site_occupancy
Hg1 0.0000 0.0000 0.0000 1
Os1 0.5000 0.5000 0.5000 1
Ru1 0.0000 0.5000 0.5000 1
```


Here is a relaxed structure of ZrMo2Pb from Alexandria via LeMat-Bulk. Energies are from PBE.

Calculated values
- Energy of formation from the pure elements: 1.797 eV/f.u.
- Total magnetization: 0.00 μB/f.u.
- DFT total energy: -64.24 eV/cell

Cell and atoms, written as CIF:
```
data_ZrMo2Pb
_cell_length_a 3.4475
_cell_length_b 5.0091
_cell_length_c 9.1070
_cell_angle_alpha 90.00
_cell_angle_beta 90.00
_cell_angle_gamma 90.00
_symmetry_space_group_name_H-M 'C m m m'
_symmetry_Int_Tables_number 65
_symmetry_space_group_name_Hall '-C 2 2'
loop_
_atom_site_label
_atom_site_fract_x
_atom_site_fract_y
_atom_site_fract_z
_atom_site_occupancy
Zr1 0.0000 0.0000 0.0000 1
Mo1 0.0000 0.5000 0.2430 1
Pb1 0.0000 0.0000 0.5000 1
```


Here is a relaxed structure of CaTb2Tm from Alexandria via LeMat-Bulk. Energies are from PBE.

Calculated values
- Energy of formation from the pure elements: 0.548 eV/f.u.
- Total magnetization: 0.00 μB/f.u.
- DFT total energy: -15.19 eV/cell

Cell and atoms, written as CIF:
```
data_CaTb2Tm
_cell_length_a 5.1127
_cell_length_b 5.1127
_cell_length_c 5.0366
_cell_angle_alpha 90.00
_cell_angle_beta 90.00
_cell_angle_gamma 90.00
_symmetry_space_group_name_H-M 'P 4/m m m'
_symmetry_Int_Tables_number 123
_symmetry_space_group_name_Hall '-P 4 2'
loop_
_atom_site_label
_atom_site_fract_x
_atom_site_fract_y
_atom_site_fract_z
_atom_site_occupancy
Ca1 0.0000 0.0000 0.0000 1
Tb1 0.0000 0.5000 0.5000 1
Tm1 0.5000 0.5000 0.0000 1
```